TbGePd after structural relaxation. Source: Alexandria via LeMat-Bulk, functional PBE.

Output
The value obtained for the formation energy is -0.91 eV/atom. As for the density of states at the Fermi level: 1.45 states/eV/f.u.

a b c (Å): 5.684 5.684 7.097
angles (deg): 128.32 128.32 45.06
Fractional positions:
Tb 0.049 0.049 0.309
Tb 0.951 0.951 0.691
Ge 0.341 0.341 0.902
Ge 0.659 0.659 0.098
Pd 0.324 0.324 0.274
Pd 0.676 0.676 0.726